An optimized crystal structure of MgAl2Si, computed with GGA-PBE.

## Properties
Magnetic moment   0.00 Bohr magnetons per cell
Crystal system   monoclinic
Formation energy from raw total energies   0.088 eV per atom

Structure (CIF):
```
data_MgAl2Si
_chemical_formula_sum 'Mg2 Al4 Si2'
_symmetry_space_group_name_H-M 'C 1 2/m 1'
_symmetry_Int_Tables_number 12
_cell_length_a 9.672
_cell_length_b 2.965
_cell_length_c 4.984
_cell_angle_alpha 90.00
_cell_angle_beta 105.20
_cell_angle_gamma 90.00
loop_
_symmetry_equiv_pos_as_xyz
'x,y,z'
'-x,-y,-z'
'-x,y,-z'
'x,-y,z'
'x+1/2,y+1/2,z'
'-x+1/2,-y+1/2,-z'
'-x+1/2,y+1/2,-z'
'x+1/2,-y+1/2,z'
loop_
_atom_site_label
_atom_site_fract_x
_atom_site_fract_y
_atom_site_fract_z
Mg1 0.000 0.000 0.000
Al1 0.238 0.000 0.736
Si1 0.000 0.500 0.500
```